Record 1
## CaHfSc2Sb (GGA-PBE)

Data for CaHfSc2Sb after structural relaxation.

Results
DFT total energy = -5.47 eV per atom
E_form (uncorrected) = 0.279 eV per atom
ΔE to the lowest computed polymorph = 0 meV/atom

Lattice parameters (Å, degrees): 5.412 5.412 5.428 90.00 90.00 90.00
Space group P4/mmm (No. 123)
Asymmetric unit:
Ca1 0.000 0.000 0.000 (multiplicity 1)
Hf1 0.500 0.500 0.000 (multiplicity 1)
Sc1 0.000 0.500 0.500 (multiplicity 2)
Sb1 0.500 0.500 0.500 (multiplicity 1)

Record 2
## Ca2SmHfSb4 (GGA-PBE)

Data for Ca2SmHfSb4 after structural relaxation.

Results
DFT total energy = -5.23 eV per atom
E_form (uncorrected) = -0.839 eV per atom

Lattice parameters (Å, degrees): 7.546 4.327 7.811 90.00 108.50 90.00
Space group P2/m (No. 10)
Asymmetric unit:
Ca1 0.000 0.000 0.000 (multiplicity 1)
Ca2 0.500 0.500 0.000 (multiplicity 1)
Sm1 0.000 0.500 0.500 (multiplicity 1)
Hf1 0.500 0.000 0.500 (multiplicity 1)
Sb1 0.262 0.000 0.737 (multiplicity 2)
Sb2 0.273 0.500 0.273 (multiplicity 2)

Record 3
## SrCaHf2Sb (GGA-PBE)

Data for SrCaHf2Sb after structural relaxation.

Results
DFT total energy = -5.08 eV per atom
E_form (uncorrected) = 0.467 eV per atom

Lattice parameters (Å, degrees): 5.471 5.471 5.830 90.00 90.00 90.00
Space group P4/mmm (No. 123)
Asymmetric unit:
Sr1 0.000 0.000 0.000 (multiplicity 1)
Ca1 0.500 0.500 0.000 (multiplicity 1)
Hf1 0.000 0.500 0.500 (multiplicity 2)
Sb1 0.500 0.500 0.500 (multiplicity 1)

Record 4
## CaHfSbTe2 (GGA-PBE)

Data for CaHfSbTe2 after structural relaxation.

Results
DFT total energy = -4.94 eV per atom
E_form (uncorrected) = -0.470 eV per atom
ΔE to the lowest computed polymorph = 0 meV/atom

Lattice parameters (Å, degrees): 5.577 5.577 5.569 90.00 90.00 90.00
Space group P4/mmm (No. 123)
Asymmetric unit:
Ca1 0.000 0.000 0.000 (multiplicity 1)
Hf1 0.500 0.500 0.500 (multiplicity 1)
Sb1 0.500 0.500 0.000 (multiplicity 1)
Te1 0.000 0.500 0.500 (multiplicity 2)

Record 5
## CaHf2SbW (GGA-PBE)

Data for CaHf2SbW after structural relaxation.

Results
DFT total energy = -7.04 eV per atom
E_form (uncorrected) = 0.760 eV per atom

Lattice parameters (Å, degrees): 5.003 5.003 5.683 90.00 90.00 90.00
Space group P4/mmm (No. 123)
Asymmetric unit:
Ca1 0.000 0.000 0.000 (multiplicity 1)
Hf1 0.000 0.500 0.500 (multiplicity 2)
Sb1 0.500 0.500 0.000 (multiplicity 1)
W1 0.000 0.000 0.500 (multiplicity 1)

Record 6
## Ca2YHfSb4 (GGA-PBE)

Data for Ca2YHfSb4 after structural relaxation.

Results
DFT total energy = -5.46 eV per atom
E_form (uncorrected) = -0.848 eV per atom

Lattice parameters (Å, degrees): 7.494 4.292 7.799 90.00 108.34 90.00
Space group P2/m (No. 10)
Asymmetric unit:
Ca1 0.000 0.000 0.000 (multiplicity 1)
Ca2 0.500 0.500 0.000 (multiplicity 1)
Y1 0.000 0.500 0.500 (multiplicity 1)
Hf1 0.500 0.000 0.500 (multiplicity 1)
Sb1 0.257 0.000 0.734 (multiplicity 2)
Sb2 0.270 0.500 0.274 (multiplicity 2)

Record 7
## CaHf3Sc (GGA-PBE)

Data for CaHf3Sc after structural relaxation.

Results
DFT total energy = -6.58 eV per atom
ΔH_f (0 K) = 5.28 eV per formula unit
ΔE to the lowest computed polymorph = 0 meV/atom

Lattice parameters (Å, degrees): 5.183 5.183 5.183 90.00 90.00 90.00
Space group Pm-3m (No. 221)
Asymmetric unit:
Ca1 0.000 0.000 0.000 (multiplicity 1)
Hf1 0.000 0.500 0.500 (multiplicity 3)
Sc1 0.500 0.500 0.500 (multiplicity 1)

Record 8
## Ca2HfSc (GGA-PBE)

Data for Ca2HfSc after structural relaxation.

Results
DFT total energy = -4.28 eV per atom
ΔH_f (0 K) = 3.19 eV per formula unit
ΔE to the lowest computed polymorph = 256 meV/atom

Lattice parameters (Å, degrees): 8.719 8.719 6.264 90.00 90.00 90.00
Space group I-42d (No. 122)
Asymmetric unit:
Ca1 0.247 0.250 0.125 (multiplicity 8)
Hf1 0.000 0.000 0.500 (multiplicity 4)
Sc1 0.000 0.000 0.000 (multiplicity 4)